Here is crystalline TiAlAs2Pb at its relaxed geometry from Alexandria. Energies are from PBE.

Cell lengths 4.9287, 5.0622, 4.9287 Å; angles 90.00, 90.00, 90.00 degrees
Closest atoms and distances in Å follow each position.
Sites, in units of the cell vectors:
Pb1 0.5000 0.5000 0.5000  4 Al 3.49, 8 As 3.53
As1 0.0000 0.0000 0.5000  2 Ti 2.46
As2 0.5000 0.0000 0.0000  2 Ti 2.46
Al1 0.0000 0.5000 0.0000  2 Ti 2.53
Ti1 0.0000 0.0000 0.0000  4 As 2.46, 2 Al 2.53

Values from the calculation:
Its magnetization is 0.00 μB per formula unit. The calculation puts the formation energy at 118 meV/atom. Its space group is P4/mmm. The calculation puts the energy at -24.06 eV for the cell shown.

Here is crystalline CaZr2Pt at its relaxed geometry from Alexandria. Energies are from PBE.

Cell lengths 5.9267, 5.9267, 5.9267 Å; angles 139.35, 139.35, 58.85 degrees
Closest atoms and distances in Å follow each position.
Sites, in units of the cell vectors:
Ca1 0.2500 0.7500 0.5000  4 Pt 2.91
Zr1 0.0000 0.0000 0.0000  4 Zr 2.91
Zr2 0.5000 0.5000 0.0000  4 Zr 2.91
Pt1 0.7500 0.2500 0.5000  4 Ca 2.91

Values from the calculation:
Its magnetization is 0.00 μB per formula unit. The calculation puts the formation energy at -172 meV/atom. Its space group is I4/mmm. The calculation puts the energy at -25.83 eV for the cell shown. The distance to the lowest polymorph of the same formula comes out at 286 meV/atom.

Here is crystalline RbSc2PdF at its relaxed geometry from Alexandria. Energies are from PBE.

Cell lengths 4.5002, 5.9905, 4.5002 Å; angles 90.00, 90.00, 90.00 degrees
Closest atoms and distances in Å follow each position.
Sites, in units of the cell vectors:
Sc1 0.0000 0.0000 0.5000  2 F 2.25
Sc2 0.5000 0.0000 0.0000  2 F 2.25
Rb1 0.5000 0.5000 0.5000  4 Pd 3.18
Pd1 0.0000 0.5000 0.0000  2 F 3.00, 4 Rb 3.18
F1 0.0000 0.0000 0.0000  4 Sc 2.25

Values from the calculation:
Its magnetization is 1.92 μB per formula unit. Its space group is P4/mmm. The calculation puts the energy at -22.54 eV for the cell shown. Its raw formation energy is -178 kJ/mol of formula units.

Here is crystalline AgHg2Se2 at its relaxed geometry from Alexandria. Energies are from PBE.

Cell lengths 6.7688, 6.7688, 6.9254 Å; angles 69.47, 69.47, 98.24 degrees
Closest atoms and distances in Å follow each position.
Sites, in units of the cell vectors:
Ag1 0.8834 0.1166 0.7500  2 Se 2.55, 1 Hg 2.82
Ag2 0.1166 0.8834 0.2500  2 Se 2.55, 1 Hg 2.82
Hg1 0.1585 0.8415 0.7500  1 Ag 2.82, 2 Se 2.91
Hg2 0.5873 0.4127 0.7500  4 Se 2.63-2.94
Hg3 0.4127 0.5873 0.2500  4 Se 2.63-2.94
Hg4 0.8415 0.1585 0.2500  1 Ag 2.82, 2 Se 2.91
Se1 0.5626 0.8210 0.8063  1 Ag 2.55, 1 Hg 2.63
Se2 0.1790 0.4374 0.6937  1 Ag 2.55, 1 Hg 2.63
Se3 0.8210 0.5626 0.3063  1 Ag 2.55, 1 Hg 2.63
Se4 0.4374 0.1790 0.1937  1 Ag 2.55, 1 Hg 2.63

Values from the calculation:
Its magnetization is 0.00 μB per formula unit. Its space group is C2/c. The calculation puts the energy at -21.15 eV for the cell shown. Its raw formation energy is -15 kJ/mol of formula units. The distance to the lowest polymorph of the same formula comes out at 0 meV/atom.

Here is crystalline NdY3Pd4 at its relaxed geometry from Alexandria. Energies are from PBE.

Cell lengths 5.0090, 5.0090, 8.7192 Å; angles 73.31, 73.31, 60.00 degrees
Closest atoms and distances in Å follow each position.
Sites, in units of the cell vectors:
Y1 0.2490 0.2490 0.2529  8 Pd 3.01-3.20
Y2 0.7510 0.7510 0.7471  8 Pd 3.01-3.20
Y3 0.5000 0.5000 0.5000  8 Pd 2.99-3.05
Nd1 0.0000 0.0000 0.0000  8 Pd 3.10-3.14
Pd1 0.8728 0.8728 0.3815  7 Y 3.01-3.08, 1 Nd 3.14
Pd2 0.3787 0.3787 0.8638  5 Y 2.99-3.20, 3 Nd 3.10
Pd3 0.1272 0.1272 0.6185  7 Y 3.01-3.08, 1 Nd 3.14
Pd4 0.6213 0.6213 0.1362  5 Y 2.99-3.20, 3 Nd 3.10

Values from the calculation:
Its magnetization is 0.00 μB per formula unit. The calculation puts the formation energy at -838 meV/atom. Its space group is R-3m. The calculation puts the energy at -51.63 eV for the cell shown.

Here is crystalline MgOs2Pt at its relaxed geometry from Alexandria. Energies are from PBE.

Cell lengths 4.7034, 4.7034, 4.7034 Å; angles 129.98, 129.89, 73.51 degrees
Closest atoms and distances in Å follow each position.
Sites, in units of the cell vectors:
Mg1 0.2500 0.7500 0.5000  4 Pt 2.74, 8 Os 2.74-2.81
Os1 0.9997 0.9997 0.0000  4 Os 2.74, 4 Mg 2.74, 4 Pt 2.81
Os2 0.7502 0.2502 0.5000  4 Os 2.74, 4 Pt 2.74, 4 Mg 2.81
Pt1 0.5001 0.5001 0.0000  8 Os 2.74-2.81, 4 Mg 2.74

Values from the calculation:
Its magnetization is 0.00 μB per formula unit. The calculation puts the formation energy at 82 meV/atom. Its space group is I-4m2. The calculation puts the energy at -29.77 eV for the cell shown.